A plane-wave DFT calculation with PBE was carried out for an optimized crystal structure of AlIn3Cl6. Values from VASP.

```
&SYSTEM
  ibrav = 0, nat = 20, ntyp = 3
/
ATOMIC_SPECIES
Al 26.98 Al.upf
In 114.82 In.upf
Cl 35.45 Cl.upf
CELL_PARAMETERS angstrom
5.947 -7.989 0.000
5.947 7.989 0.000
0.000 0.000 7.650
ATOMIC_POSITIONS angstrom
Al 5.947 4.887 3.825
Al 5.947 -4.887 0.000
In 2.401 1.460 4.282
In 2.401 -1.460 0.457
In 5.947 1.522 0.567
In 5.947 -1.522 4.392
In 9.493 1.460 4.282
In 9.493 -1.460 0.457
Cl 5.947 7.003 3.317
Cl 4.181 3.999 2.942
Cl 5.947 4.618 5.955
Cl 4.070 0.076 6.209
Cl 4.070 -0.076 2.384
Cl 7.712 3.999 2.942
Cl 4.181 -3.999 6.768
Cl 7.823 0.076 6.209
Cl 7.823 -0.076 2.384
Cl 5.947 -4.618 2.130
Cl 7.712 -3.999 6.768
Cl 5.947 -7.003 7.142
```

Size of the total moment = 0.0 Bohr magnetons per cell
Volume = 726.9 Å³/cell
Total energy = -3.444 eV per atom
Space group = Cmc2_1
Relative energy among the computed polymorphs = 0.000 eV per atom
DOS(E_F) = 0.000 states/eV/atom

A plane-wave DFT calculation with PBE was carried out for an optimized crystal structure of SrCaZnPt. Values from VASP.

```
&SYSTEM
  ibrav = 0, nat = 16, ntyp = 4
/
ATOMIC_SPECIES
Sr 87.62 Sr.upf
Ca 40.08 Ca.upf
Zn 65.41 Zn.upf
Pt 195.08 Pt.upf
CELL_PARAMETERS angstrom
7.347 0.000 0.000
0.000 7.347 0.000
0.000 0.000 7.347
ATOMIC_POSITIONS angstrom
Sr 0.000 0.000 0.000
Sr 0.000 3.674 3.674
Sr 3.674 0.000 3.674
Sr 3.674 3.674 0.000
Ca 0.000 0.000 3.674
Ca 0.000 3.674 0.000
Ca 3.674 0.000 0.000
Ca 3.674 3.674 3.674
Zn 1.837 1.837 5.510
Zn 1.837 5.510 1.837
Zn 5.510 1.837 1.837
Zn 5.510 5.510 5.510
Pt 1.837 1.837 1.837
Pt 1.837 5.510 5.510
Pt 5.510 1.837 5.510
Pt 5.510 5.510 1.837
```

DFT formation energy = -11.376 kcal/mol of atoms
Size of the total moment = 0.0 Bohr magnetons per cell
Volume = 396.6 Å³/cell
Total energy = -3.243 eV per atom
Space group = F-43m
Relative energy among the computed polymorphs = 0.129 eV per atom
DOS(E_F) = 0.470 states/eV/atom

A plane-wave DFT calculation with PBE was carried out for an optimized crystal structure of PaZnAu. Values from VASP.

```
&SYSTEM
  ibrav = 0, nat = 12, ntyp = 3
/
ATOMIC_SPECIES
Pa 231.04 Pa.upf
Zn 65.41 Zn.upf
Au 196.97 Au.upf
CELL_PARAMETERS angstrom
4.684 0.000 0.000
0.000 6.320 0.000
0.000 0.000 8.191
ATOMIC_POSITIONS angstrom
Pa 0.000 1.543 0.000
Pa 0.000 4.778 0.000
Pa 2.342 1.617 4.095
Pa 2.342 4.703 4.095
Zn 0.000 0.000 2.780
Zn 0.000 0.000 5.411
Zn 2.342 3.160 1.315
Zn 2.342 3.160 6.876
Au 0.000 3.160 2.660
Au 0.000 3.160 5.531
Au 2.342 0.000 1.436
Au 2.342 0.000 6.755
```

DFT formation energy = -7.574 kcal/mol of atoms
Size of the total moment = 2.9 Bohr magnetons per cell
Volume = 242.5 Å³/cell
Total energy = -5.011 eV per atom
Space group = Immm
DOS(E_F) = 1.455 states/eV/atom

A plane-wave DFT calculation with PBE was carried out for an optimized crystal structure of Hf5Tc4Rh. Values from VASP.

```
&SYSTEM
  ibrav = 0, nat = 10, ntyp = 3
/
ATOMIC_SPECIES
Hf 178.49 Hf.upf
Tc 98.00 Tc.upf
Rh 102.91 Rh.upf
CELL_PARAMETERS angstrom
3.267 0.000 0.000
0.000 3.267 0.000
0.000 0.000 16.295
ATOMIC_POSITIONS angstrom
Hf 0.000 0.000 0.000
Hf 0.000 0.000 3.266
Hf 0.000 0.000 6.474
Hf 0.000 0.000 9.820
Hf 0.000 0.000 13.028
Tc 1.634 1.634 1.628
Tc 1.634 1.634 4.920
Tc 1.634 1.634 11.374
Tc 1.634 1.634 14.667
Rh 1.634 1.634 8.147
```

DFT formation energy = -13.917 kcal/mol of atoms
Size of the total moment = 0.0 Bohr magnetons per cell
Volume = 174.0 Å³/cell
Total energy = -10.462 eV per atom
Space group = P4/mmm
DOS(E_F) = 0.903 states/eV/atom

A plane-wave DFT calculation with PBE was carried out for an optimized crystal structure of CsLiRhF6. Values from VASP.

```
&SYSTEM
  ibrav = 0, nat = 9, ntyp = 4
/
ATOMIC_SPECIES
Cs 132.91 Cs.upf
Li 6.94 Li.upf
Rh 102.91 Rh.upf
F 19.00 F.upf
CELL_PARAMETERS angstrom
5.378 0.000 0.000
-2.689 4.657 0.000
0.000 0.000 6.605
ATOMIC_POSITIONS angstrom
Cs 0.000 0.000 0.000
Li 0.000 3.105 3.303
Rh 2.689 1.552 3.303
F 1.990 0.093 4.401
F 1.076 1.677 2.204
F 3.388 0.093 2.204
F 1.775 2.888 4.401
F 4.302 1.677 4.401
F 3.603 2.888 2.204
```

Size of the total moment = 1.0 Bohr magnetons per cell
Volume = 165.5 Å³/cell
Total energy = -4.576 eV per atom
Space group = P312
DOS(E_F) = 1.094 states/eV/atom

A plane-wave DFT calculation with PBE was carried out for an optimized crystal structure of GaTc3P. Values from VASP.

```
&SYSTEM
  ibrav = 0, nat = 5, ntyp = 3
/
ATOMIC_SPECIES
Ga 69.72 Ga.upf
Tc 98.00 Tc.upf
P 30.97 P.upf
CELL_PARAMETERS angstrom
4.542 0.000 0.000
0.000 4.542 0.000
0.000 0.000 4.542
ATOMIC_POSITIONS angstrom
Ga 0.000 0.000 0.000
Tc 0.000 0.000 2.271
Tc 0.000 2.271 0.000
Tc 2.271 0.000 0.000
P 2.271 2.271 2.271
```

DFT formation energy = 39.409 kcal/mol of atoms
Size of the total moment = 3.0 Bohr magnetons per cell
Volume = 93.7 Å³/cell
Total energy = -6.198 eV per atom
Space group = Pm-3m
Relative energy among the computed polymorphs = 1.839 eV per atom
DOS(E_F) = 1.229 states/eV/atom

A plane-wave DFT calculation with PBE was carried out for an optimized crystal structure of CeSmBiTe. Values from VASP.

```
&SYSTEM
  ibrav = 0, nat = 16, ntyp = 4
/
ATOMIC_SPECIES
Ce 140.12 Ce.upf
Sm 150.36 Sm.upf
Bi 208.98 Bi.upf
Te 127.60 Te.upf
CELL_PARAMETERS angstrom
7.800 0.000 0.000
0.000 7.800 0.000
0.000 0.000 7.800
ATOMIC_POSITIONS angstrom
Ce 0.000 0.000 0.000
Ce 0.000 3.900 3.900
Ce 3.900 0.000 3.900
Ce 3.900 3.900 0.000
Sm 0.000 0.000 3.900
Sm 0.000 3.900 0.000
Sm 3.900 0.000 0.000
Sm 3.900 3.900 3.900
Bi 1.950 1.950 5.850
Bi 1.950 5.850 1.950
Bi 5.850 1.950 1.950
Bi 5.850 5.850 5.850
Te 1.950 1.950 1.950
Te 1.950 5.850 5.850
Te 5.850 1.950 5.850
Te 5.850 5.850 1.950
```

Size of the total moment = 7.6 Bohr magnetons per cell
Volume = 474.5 Å³/cell
Total energy = -5.376 eV per atom
Space group = F-43m
DOS(E_F) = 1.428 states/eV/atom

A plane-wave DFT calculation with PBE was carried out for an optimized crystal structure of TiInAs2Br. Values from VASP.

```
&SYSTEM
  ibrav = 0, nat = 5, ntyp = 4
/
ATOMIC_SPECIES
Ti 47.87 Ti.upf
In 114.82 In.upf
As 74.92 As.upf
Br 79.90 Br.upf
CELL_PARAMETERS angstrom
4.879 0.000 0.000
0.000 4.879 0.000
0.000 0.000 5.599
ATOMIC_POSITIONS angstrom
Ti 0.000 0.000 0.000
In 2.439 2.439 2.800
As 0.000 2.439 0.000
As 2.439 0.000 0.000
Br 0.000 0.000 2.800
```

Size of the total moment = 0.0 Bohr magnetons per cell
Volume = 133.3 Å³/cell
Total energy = -4.530 eV per atom
Space group = P4/mmm
Relative energy among the computed polymorphs = 0.000 eV per atom
DOS(E_F) = 0.560 states/eV/atom